# 1
## InSb2F (PBE-GGA)

Data for a relaxed structure of InSb2F.

a = 7.075 Å, b = 7.075 Å, c = 7.075 Å
α = 90.00°, β = 90.00°, γ = 90.00°
Atoms (fractional coordinates):
In: 0.000 0.000 0.000
In: 0.000 0.500 0.500
In: 0.500 0.000 0.500
In: 0.500 0.500 0.000
Sb: 0.250 0.250 0.250
Sb: 0.250 0.250 0.750
Sb: 0.250 0.750 0.250
Sb: 0.250 0.750 0.750
Sb: 0.750 0.250 0.250
Sb: 0.750 0.250 0.750
Sb: 0.750 0.750 0.250
Sb: 0.750 0.750 0.750
F: 0.000 0.000 0.500
F: 0.000 0.500 0.000
F: 0.500 0.000 0.000
F: 0.500 0.500 0.500

## Properties
E above lowest polymorph = 0.25 eV/f.u.
Electronic total energy = -58.58 eV/cell
Magnetic moment = 0.00 μB/f.u.
SG = Fm-3m
Formation energy without anion corrections = -447.8 meV/atom

# 2
## CsAcCuBr6 (PBE-GGA)

Data for a relaxed structure of CsAcCuBr6.

a = 7.058 Å, b = 7.212 Å, c = 8.286 Å
α = 92.16°, β = 96.70°, γ = 111.91°
Atoms (fractional coordinates):
Cs: 0.000 0.000 0.000
Ac: 0.377 0.663 0.512
Cu: 0.754 0.329 0.456
Br: 0.016 0.582 0.253
Br: 0.048 0.292 0.629
Br: 0.441 0.941 0.803
Br: 0.461 0.361 0.282
Br: 0.658 0.988 0.320
Br: 0.734 0.560 0.679

## Properties
Electronic total energy = -31.42 eV/cell
Magnetic moment = 1.00 μB/f.u.
SG = P1
Formation energy without anion corrections = -1369.6 meV/atom

# 3
## Li6AgSn5 (PBE-GGA)

Data for a relaxed structure of Li6AgSn5.

a = 5.499 Å, b = 5.499 Å, c = 9.367 Å
α = 95.10°, β = 95.10°, γ = 115.15°
Atoms (fractional coordinates):
Li: 0.073 0.410 0.249
Li: 0.245 0.245 0.744
Li: 0.410 0.073 0.249
Li: 0.590 0.927 0.751
Li: 0.755 0.755 0.256
Li: 0.927 0.590 0.751
Ag: 0.500 0.500 0.500
Sn: 0.000 0.000 0.000
Sn: 0.180 0.820 0.500
Sn: 0.335 0.665 0.000
Sn: 0.665 0.335 0.000
Sn: 0.820 0.180 0.500

## Properties
E above lowest polymorph = 1.17 eV/f.u.
Electronic total energy = -37.01 eV/cell
DFT formation energy = -0.222 eV per atom
Magnetic moment = 0.00 μB/f.u.
SG = C2/m

# 4
## Cs2SiIrI6 (PBE-GGA)

Data for a relaxed structure of Cs2SiIrI6.

a = 8.116 Å, b = 8.116 Å, c = 8.116 Å
α = 120.15°, β = 120.15°, γ = 89.75°
Atoms (fractional coordinates):
Cs: 0.250 0.750 0.500
Cs: 0.750 0.250 0.500
Si: 0.000 0.000 0.000
Ir: 0.500 0.500 0.000
I: 0.258 0.258 0.517
I: 0.258 0.742 0.000
I: 0.260 0.260 0.000
I: 0.740 0.740 0.000
I: 0.742 0.258 0.000
I: 0.742 0.742 0.483

## Properties
Electronic total energy = -30.51 eV/cell
Magnetic moment = 0.00 μB/f.u.
SG = I4/mmm
Formation energy without anion corrections = -522.0 meV/atom